Record 1
# AgBiS2, optimized geometry, DFT PBE-GGA
# Space-group type: No. 6
# Total moment, μB per formula unit: 0.000
# Formation energy without anion corrections, meV per atom: -182.4
data_AgBiS2
_chemical_formula_sum 'Ag1 Bi1 S2'
_symmetry_space_group_name_H-M 'P 1'
_symmetry_Int_Tables_number 1
_symmetry_space_group_name_Hall 'P 1'
_cell_length_a 3.834
_cell_length_b 4.302
_cell_length_c 6.396
_cell_angle_alpha 90.00
_cell_angle_beta 104.55
_cell_angle_gamma 90.00
loop_
_atom_site_label
_atom_site_type_symbol
_atom_site_fract_x
_atom_site_fract_y
_atom_site_fract_z
Ag1 Ag 0.000 0.000 0.000
Bi1 Bi 0.677 0.500 0.525
S1 S 0.090 0.500 0.210
S2 S 0.393 0.000 0.698

Record 2
# Ag4Bi2S5, optimized geometry, DFT PBE-GGA
# Space-group type: No. 166
# Total moment, μB per formula unit: 0.000
# Formation energy without anion corrections, meV per atom: -57.9
data_Ag4Bi2S5
_chemical_formula_sum 'Ag4 Bi2 S5'
_symmetry_space_group_name_H-M 'P 1'
_symmetry_Int_Tables_number 1
_symmetry_space_group_name_Hall 'P 1'
_cell_length_a 17.396
_cell_length_b 17.396
_cell_length_c 17.396
_cell_angle_alpha 13.95
_cell_angle_beta 13.95
_cell_angle_gamma 13.95
loop_
_atom_site_label
_atom_site_type_symbol
_atom_site_fract_x
_atom_site_fract_y
_atom_site_fract_z
Ag1 Ag 0.087 0.087 0.087
Ag2 Ag 0.195 0.195 0.195
Ag3 Ag 0.805 0.805 0.805
Ag4 Ag 0.913 0.913 0.913
Bi1 Bi 0.366 0.366 0.366
Bi2 Bi 0.634 0.634 0.634
S1 S 0.000 0.000 0.000
S2 S 0.134 0.134 0.134
S3 S 0.273 0.273 0.273
S4 S 0.727 0.727 0.727
S5 S 0.866 0.866 0.866

Record 3
# AgBiS2, optimized geometry, DFT PBE-GGA
# Space-group type: No. 160
# Total moment, μB per formula unit: 0.000
# Formation energy without anion corrections, meV per atom: -137.5
data_AgBiS2
_chemical_formula_sum 'Ag1 Bi1 S2'
_symmetry_space_group_name_H-M 'P 1'
_symmetry_Int_Tables_number 1
_symmetry_space_group_name_Hall 'P 1'
_cell_length_a 7.178
_cell_length_b 7.178
_cell_length_c 7.178
_cell_angle_alpha 31.60
_cell_angle_beta 31.60
_cell_angle_gamma 31.60
loop_
_atom_site_label
_atom_site_type_symbol
_atom_site_fract_x
_atom_site_fract_y
_atom_site_fract_z
Ag1 Ag 0.000 0.000 0.000
Bi1 Bi 0.167 0.167 0.167
S1 S 0.412 0.412 0.412
S2 S 0.588 0.588 0.588

Record 4
# AgBiS3, optimized geometry, DFT PBE-GGA
# Space-group type: No. 2
# Total moment, μB per formula unit: 0.000
# Formation energy without anion corrections, meV per atom: -77.7
data_AgBiS3
_chemical_formula_sum 'Ag2 Bi2 S6'
_symmetry_space_group_name_H-M 'P 1'
_symmetry_Int_Tables_number 1
_symmetry_space_group_name_Hall 'P 1'
_cell_length_a 4.171
_cell_length_b 6.133
_cell_length_c 10.786
_cell_angle_alpha 75.01
_cell_angle_beta 86.60
_cell_angle_gamma 81.45
loop_
_atom_site_label
_atom_site_type_symbol
_atom_site_fract_x
_atom_site_fract_y
_atom_site_fract_z
Ag1 Ag 0.046 0.281 0.188
Ag2 Ag 0.954 0.719 0.812
Bi1 Bi 0.270 0.226 0.609
Bi2 Bi 0.730 0.774 0.391
S1 S 0.194 0.658 0.600
S2 S 0.217 0.862 0.221
S3 S 0.303 0.593 0.024
S4 S 0.697 0.407 0.976
S5 S 0.783 0.138 0.779
S6 S 0.806 0.342 0.400

Record 5
# Ag3BiS4, optimized geometry, DFT PBE-GGA
# Space-group type: No. 121
# Total moment, μB per formula unit: 0.000
# Formation energy without anion corrections, meV per atom: -34.0
data_Ag3BiS4
_chemical_formula_sum 'Ag3 Bi1 S4'
_symmetry_space_group_name_H-M 'P 1'
_symmetry_Int_Tables_number 1
_symmetry_space_group_name_Hall 'P 1'
_cell_length_a 7.203
_cell_length_b 7.203
_cell_length_c 7.203
_cell_angle_alpha 131.66
_cell_angle_beta 131.66
_cell_angle_gamma 70.76
loop_
_atom_site_label
_atom_site_type_symbol
_atom_site_fract_x
_atom_site_fract_y
_atom_site_fract_z
Ag1 Ag 0.000 0.000 0.000
Ag2 Ag 0.250 0.750 0.500
Ag3 Ag 0.750 0.250 0.500
Bi1 Bi 0.500 0.500 0.000
S1 S 0.116 0.116 0.489
S2 S 0.373 0.884 0.000
S3 S 0.627 0.627 0.511
S4 S 0.884 0.373 0.000

Record 6
# AgBi2S3, optimized geometry, DFT PBE-GGA
# Space-group type: No. 36
# Total moment, μB per formula unit: 0.000
# Formation energy without anion corrections, meV per atom: -129.8
data_AgBi2S3
_chemical_formula_sum 'Ag2 Bi4 S6'
_symmetry_space_group_name_H-M 'P 1'
_symmetry_Int_Tables_number 1
_symmetry_space_group_name_Hall 'P 1'
_cell_length_a 7.709
_cell_length_b 7.709
_cell_length_c 5.884
_cell_angle_alpha 90.00
_cell_angle_beta 90.00
_cell_angle_gamma 72.86
loop_
_atom_site_label
_atom_site_type_symbol
_atom_site_fract_x
_atom_site_fract_y
_atom_site_fract_z
Ag1 Ag 0.170 0.830 0.500
Ag2 Ag 0.830 0.170 0.000
Bi1 Bi 0.197 0.525 0.953
Bi2 Bi 0.475 0.803 0.953
Bi3 Bi 0.525 0.197 0.453
Bi4 Bi 0.803 0.475 0.453
S1 S 0.114 0.886 0.935
S2 S 0.161 0.502 0.401
S3 S 0.498 0.839 0.401
S4 S 0.502 0.161 0.901
S5 S 0.839 0.498 0.901
S6 S 0.886 0.114 0.435

Record 7
# Ag2BiS2, optimized geometry, DFT PBE-GGA
# Space-group type: No. 139
# Total moment, μB per formula unit: 0.000
# Formation energy without anion corrections, meV per atom: 357.2
data_Ag2BiS2
_chemical_formula_sum 'Ag2 Bi1 S2'
_symmetry_space_group_name_H-M 'P 1'
_symmetry_Int_Tables_number 1
_symmetry_space_group_name_Hall 'P 1'
_cell_length_a 6.373
_cell_length_b 6.373
_cell_length_c 6.373
_cell_angle_alpha 139.78
_cell_angle_beta 139.78
_cell_angle_gamma 58.18
loop_
_atom_site_label
_atom_site_type_symbol
_atom_site_fract_x
_atom_site_fract_y
_atom_site_fract_z
Ag1 Ag 0.123 0.123 0.000
Ag2 Ag 0.877 0.877 0.000
Bi1 Bi 0.500 0.500 0.000
S1 S 0.250 0.750 0.500
S2 S 0.750 0.250 0.500

Record 8
# Ag2Bi3S4, optimized geometry, DFT PBE-GGA
# Space-group type: No. 15
# Total moment, μB per formula unit: 0.000
# Formation energy without anion corrections, meV per atom: -49.3
data_Ag2Bi3S4
_chemical_formula_sum 'Ag4 Bi6 S8'
_symmetry_space_group_name_H-M 'P 1'
_symmetry_Int_Tables_number 1
_symmetry_space_group_name_Hall 'P 1'
_cell_length_a 8.621
_cell_length_b 8.621
_cell_length_c 6.942
_cell_angle_alpha 96.04
_cell_angle_beta 96.04
_cell_angle_gamma 61.24
loop_
_atom_site_label
_atom_site_type_symbol
_atom_site_fract_x
_atom_site_fract_y
_atom_site_fract_z
Ag1 Ag 0.004 0.645 0.627
Ag2 Ag 0.355 0.996 0.873
Ag3 Ag 0.645 0.004 0.127
Ag4 Ag 0.996 0.355 0.373
Bi1 Bi 0.103 0.897 0.250
Bi2 Bi 0.289 0.407 0.956
Bi3 Bi 0.407 0.289 0.456
Bi4 Bi 0.593 0.711 0.544
Bi5 Bi 0.711 0.593 0.044
Bi6 Bi 0.897 0.103 0.750
S1 S 0.061 0.268 0.010
S2 S 0.265 0.660 0.502
S3 S 0.268 0.061 0.510
S4 S 0.340 0.735 0.998
S5 S 0.660 0.265 0.002
S6 S 0.732 0.939 0.490
S7 S 0.735 0.340 0.498
S8 S 0.939 0.732 0.990